Entry from Alexandria: an optimized crystal structure of MgZnSe2 (PBE).

a b c (Å): 4.144 4.144 20.384
angles (deg): 90.00 90.00 120.00
Sites, in units of the cell vectors:
Mg (0.000, 0.000, 0.000)
Mg (0.333, 0.667, 0.667)
Mg (0.667, 0.333, 0.333)
Zn (0.000, 0.000, 0.500)
Zn (0.333, 0.667, 0.166)
Zn (0.667, 0.333, 0.833)
Se (0.000, 0.000, 0.378)
Se (0.000, 0.000, 0.872)
Se (0.333, 0.667, 0.045)
Se (0.333, 0.667, 0.539)
Se (0.667, 0.333, 0.206)
Se (0.667, 0.333, 0.711)

Raw total energy = -3.4293 eV per atom
SG = No. 160
Formation energy without anion corrections = -0.970 eV per atom

Entry from Alexandria: an optimized crystal structure of InSnAs2 (PBE).

a b c (Å): 7.161 7.161 7.161
angles (deg): 90.00 90.00 90.00
Sites, in units of the cell vectors:
In (0.000, 0.000, 0.000)
In (0.000, 0.500, 0.500)
In (0.500, 0.000, 0.500)
In (0.500, 0.500, 0.000)
Sn (0.000, 0.000, 0.500)
Sn (0.000, 0.500, 0.000)
Sn (0.500, 0.000, 0.000)
Sn (0.500, 0.500, 0.500)
As (0.250, 0.250, 0.250)
As (0.250, 0.250, 0.750)
As (0.250, 0.750, 0.250)
As (0.250, 0.750, 0.750)
As (0.750, 0.250, 0.250)
As (0.750, 0.250, 0.750)
As (0.750, 0.750, 0.250)
As (0.750, 0.750, 0.750)

E_form = 0.186 eV per atom
Raw total energy = -3.8238 eV per atom
SG = No. 225

Entry from Alexandria: an optimized crystal structure of Tb7Sn2Ir2 (PBE).

a b c (Å): 6.847 6.847 7.124
angles (deg): 90.00 90.00 105.44
Sites, in units of the cell vectors:
Tb (0.000, 0.000, 0.000)
Tb (0.000, 0.500, 0.247)
Tb (0.000, 0.500, 0.753)
Tb (0.500, 0.000, 0.247)
Tb (0.500, 0.000, 0.753)
Tb (0.500, 0.500, 0.236)
Tb (0.500, 0.500, 0.764)
Sn (0.181, 0.181, 0.500)
Sn (0.819, 0.819, 0.500)
Ir (0.285, 0.715, 0.000)
Ir (0.715, 0.285, 0.000)

E_form = -0.552 eV per atom
Raw total energy = -5.8370 eV per atom
SG = No. 65

Entry from Alexandria: an optimized crystal structure of CsInAu2 (PBE).

a b c (Å): 8.519 7.408 7.616
angles (deg): 90.00 90.00 90.00
Sites, in units of the cell vectors:
Cs (0.004, 0.250, 0.147)
Cs (0.496, 0.750, 0.647)
Cs (0.504, 0.250, 0.353)
Cs (0.996, 0.750, 0.853)
In (0.158, 0.750, 0.344)
In (0.342, 0.250, 0.844)
In (0.658, 0.750, 0.156)
In (0.842, 0.250, 0.656)
Au (0.156, 0.060, 0.570)
Au (0.156, 0.440, 0.570)
Au (0.344, 0.560, 0.070)
Au (0.344, 0.940, 0.070)
Au (0.656, 0.060, 0.930)
Au (0.656, 0.440, 0.930)
Au (0.844, 0.560, 0.430)
Au (0.844, 0.940, 0.430)

E_form = -0.230 eV per atom
Raw total energy = -2.7668 eV per atom
SG = No. 62

Summary of total magnetic moment in μB per formula unit
0.0, 0.0, 0.0, 0.0
(order as listed above)